## KIr2W (meta-GGA SCAN)

Data for a crystal of KIr2W relaxed with PBEsol.

Cell: 2.895 2.895 8.678 Å, 90.00 90.00 90.00°
Element x y z (fractional)
Ir 0.000 0.000 0.307
Ir 0.000 0.000 0.693
W 0.500 0.500 0.500
K 0.500 0.500 0.000

Volume: 73 Å³ per cell
ΔE to the lowest computed polymorph: 0.0 meV/atom
Formation energy from the elements: 0.24 eV/atom

***

## BaSr (meta-GGA SCAN)

Data for a crystal of BaSr relaxed with PBEsol.

Cell: 4.251 4.251 14.036 Å, 90.00 90.00 120.00°
Element x y z (fractional)
Sr 0.667 0.333 0.378
Sr 0.333 0.667 0.622
Ba 0.333 0.667 0.128
Ba 0.667 0.333 0.872

Volume: 220 Å³ per cell
ΔE to the lowest computed polymorph: 17.4 meV/atom
Formation energy from the elements: 0.03 eV/atom

***

## Mn2TcCl (meta-GGA SCAN)

Data for a crystal of Mn2TcCl relaxed with PBEsol.

Cell: 2.734 2.734 6.612 Å, 90.00 90.00 90.00°
Element x y z (fractional)
Tc 0.500 0.500 0.000
Mn 0.000 0.000 0.256
Mn 0.000 0.000 0.744
Cl 0.500 0.500 0.500

ΔE_f (raw): 0.2204 eV/atom
Volume: 49 Å³ per cell
ΔE to the lowest computed polymorph: 424.8 meV/atom

***

## Mg2AlSb (meta-GGA SCAN)

Data for a crystal of Mg2AlSb relaxed with PBEsol.

Cell: 5.006 5.006 5.006 Å, 60.00 60.00 60.00°
Element x y z (fractional)
Sb 0.750 0.750 0.750
Al 0.500 0.500 0.500
Mg 0.000 0.000 0.000
Mg 0.250 0.250 0.250

ΔE_f (raw): 0.0602 eV/atom
Volume: 89 Å³ per cell
ΔE to the lowest computed polymorph: 134.3 meV/atom

***

## FeB2W2 (meta-GGA SCAN)

Data for a crystal of FeB2W2 relaxed with PBEsol.

Cell: 3.159 5.704 5.704 Å, 90.00 90.00 90.00°
Element x y z (fractional)
W 0.500 0.178 0.678
W 0.500 0.678 0.822
W 0.500 0.322 0.178
W 0.500 0.822 0.322
B 0.000 0.885 0.615
B 0.000 0.115 0.385
B 0.000 0.615 0.115
B 0.000 0.385 0.885
Fe 0.000 0.500 0.500
Fe 0.000 0.000 0.000

Volume: 103 Å³ per cell
Formation energy from the elements: -0.34 eV/atom

***

## KPdF2 (meta-GGA SCAN)

Data for a crystal of KPdF2 relaxed with PBEsol.

Cell: 4.294 4.294 4.294 Å, 60.00 60.00 60.00°
Element x y z (fractional)
Pd 0.500 0.500 0.500
F 0.750 0.750 0.750
F 0.250 0.250 0.250
K 0.000 0.000 0.000

ΔE_f (raw): -1.4468 eV/atom
Volume: 56 Å³ per cell

***

## RhSeN2Cl (meta-GGA SCAN)

Data for a crystal of RhSeN2Cl relaxed with PBEsol.

Cell: 3.731 3.731 5.460 Å, 90.00 90.00 90.00°
Element x y z (fractional)
N 0.500 0.000 0.000
N 0.000 0.500 0.000
Se 0.000 0.000 0.500
Cl 0.500 0.500 0.500
Rh 0.000 0.000 0.000

ΔE_f (raw): 1.0349 eV/atom
Volume: 76 Å³ per cell

***

## Ba2PrF7 (meta-GGA SCAN)

Data for a crystal of Ba2PrF7 relaxed with PBEsol.

Cell: 4.204 4.204 9.796 Å, 77.63 77.64 90.00°
Element x y z (fractional)
F 0.907 0.411 0.160
F 0.601 0.105 0.770
F 0.736 0.241 0.501
F 0.407 0.911 0.160
F 0.236 0.741 0.501
F 0.525 0.527 0.925
F 0.102 0.604 0.770
Ba 0.996 0.001 0.980
Ba 0.329 0.333 0.315
Pr 0.655 0.659 0.662

ΔE_f (raw): -4.1841 eV/atom
Volume: 165 Å³ per cell

***

## FeNi2 (meta-GGA SCAN)

Data for a crystal of FeNi2 relaxed with PBEsol.

Cell: 2.450 4.033 6.561 Å, 90.00 100.76 90.00°
Element x y z (fractional)
Fe 0.219 0.250 0.438
Fe 0.781 0.750 0.562
Ni 0.445 0.750 0.891
Ni 0.112 0.750 0.224
Ni 0.555 0.250 0.109
Ni 0.888 0.250 0.776

Volume: 64 Å³ per cell
Formation energy from the elements: -0.01 eV/atom

***

## BeHgAu2 (meta-GGA SCAN)

Data for a crystal of BeHgAu2 relaxed with PBEsol.

Cell: 3.862 4.092 4.092 Å, 90.00 90.00 90.00°
Element x y z (fractional)
Au 0.000 0.500 0.000
Au 0.000 0.000 0.500
Be 0.500 0.000 0.000
Hg 0.500 0.500 0.500

Volume: 65 Å³ per cell
ΔE to the lowest computed polymorph: 291.9 meV/atom
Formation energy from the elements: 0.18 eV/atom

***

## HgTe2Rh (meta-GGA SCAN)

Data for a crystal of HgTe2Rh relaxed with PBEsol.

Cell: 3.097 3.097 11.726 Å, 82.41 82.41 60.00°
Element x y z (fractional)
Hg 0.500 0.500 0.500
Rh 0.000 0.000 0.000
Te 0.072 0.072 0.783
Te 0.928 0.928 0.217

ΔE_f (raw): 0.2217 eV/atom
Volume: 96 Å³ per cell
ΔE to the lowest computed polymorph: 556.2 meV/atom

***

## LiMo2Cl (meta-GGA SCAN)

Data for a crystal of LiMo2Cl relaxed with PBEsol.

Cell: 3.115 3.267 6.665 Å, 104.19 103.52 90.00°
Element x y z (fractional)
Mo 0.703 0.703 0.406
Mo 0.297 0.297 0.594
Cl 0.000 0.500 0.000
Li 0.500 0.000 0.000

ΔE_f (raw): 0.0050 eV/atom
Volume: 64 Å³ per cell
ΔE to the lowest computed polymorph: 0.0 meV/atom

***

## HgMoIr (meta-GGA SCAN)

Data for a crystal of HgMoIr relaxed with PBEsol.

Cell: 4.309 4.309 4.309 Å, 60.00 60.00 60.00°
Element x y z (fractional)
Mo 0.000 0.000 0.000
Hg 0.500 0.500 0.500
Ir 0.250 0.250 0.250

Volume: 57 Å³ per cell
Formation energy from the elements: 0.49 eV/atom

***

## LaI3 (meta-GGA SCAN)

Data for a crystal of LaI3 relaxed with PBEsol.

Cell: 4.375 7.401 9.903 Å, 90.00 90.00 107.19°
Element x y z (fractional)
La 0.258 0.516 0.750
La 0.742 0.484 0.250
I 0.354 0.707 0.064
I 0.354 0.707 0.436
I 0.081 0.162 0.250
I 0.646 0.293 0.936
I 0.919 0.838 0.750
I 0.646 0.293 0.564

ΔE_f (raw): -1.6897 eV/atom
Volume: 306 Å³ per cell

***

## HoCoGe (meta-GGA SCAN)

Data for a crystal of HoCoGe relaxed with PBEsol.

Cell: 4.179 6.794 6.972 Å, 90.00 90.00 90.00°
Element x y z (fractional)
Ho 0.750 0.986 0.695
Ho 0.250 0.014 0.305
Ho 0.750 0.486 0.805
Ho 0.250 0.514 0.195
Co 0.250 0.848 0.934
Co 0.250 0.348 0.566
Co 0.750 0.652 0.434
Co 0.750 0.152 0.066
Ge 0.250 0.701 0.604
Ge 0.750 0.799 0.104
Ge 0.250 0.201 0.896
Ge 0.750 0.299 0.396

Volume: 198 Å³ per cell
Formation energy from the elements: -0.67 eV/atom

***

## KCr2Fe (meta-GGA SCAN)

Data for a crystal of KCr2Fe relaxed with PBEsol.

Cell: 2.848 2.848 8.571 Å, 90.00 90.00 90.00°
Element x y z (fractional)
Cr 0.000 0.000 0.162
Cr 0.000 0.000 0.838
Fe 0.500 0.500 0.000
K 0.500 0.500 0.500

Volume: 70 Å³ per cell
ΔE to the lowest computed polymorph: 0.0 meV/atom
Formation energy from the elements: 0.78 eV/atom

***

## Y2Fe17C2 (meta-GGA SCAN)

Data for a crystal of Y2Fe17C2 relaxed with PBEsol.

Cell: 6.320 6.320 6.355 Å, 83.41 83.41 83.51°
Element x y z (fractional)
Fe 0.345 0.345 0.855
Fe 0.000 0.000 0.500
Fe 0.500 0.000 0.000
Fe 0.000 0.500 0.000
Fe 0.903 0.903 0.904
Fe 0.997 0.717 0.284
Fe 0.150 0.655 0.659
Fe 0.003 0.283 0.716
Fe 0.655 0.655 0.145
Fe 0.283 0.003 0.716
Fe 0.717 0.997 0.284
Fe 0.097 0.097 0.096
Fe 0.280 0.720 0.000
Fe 0.345 0.850 0.341
Fe 0.720 0.280 0.000
Fe 0.850 0.345 0.341
Fe 0.655 0.150 0.659
Y 0.652 0.652 0.666
Y 0.348 0.348 0.334
C 0.000 0.500 0.500
C 0.500 0.000 0.500

Volume: 249 Å³ per cell
Formation energy from the elements: -0.06 eV/atom

***

## CrInBAs2 (meta-GGA SCAN)

Data for a crystal of CrInBAs2 relaxed with PBEsol.

Cell: 4.136 5.248 5.248 Å, 90.00 90.00 90.00°
Element x y z (fractional)
As 0.000 0.500 0.000
As 0.000 0.000 0.500
Cr 0.500 0.500 0.500
B 0.500 0.000 0.000
In 0.000 0.000 0.000

Volume: 114 Å³ per cell
Formation energy from the elements: 1.35 eV/atom

***

## Ta2SbIr (meta-GGA SCAN)

Data for a crystal of Ta2SbIr relaxed with PBEsol.

Cell: 2.905 4.260 5.529 Å, 90.00 90.00 90.00°
Element x y z (fractional)
Sb 0.500 0.500 0.500
Ir 0.500 0.500 0.000
Ta 0.000 0.000 0.757
Ta 0.000 0.000 0.243

ΔE_f (raw): -0.2012 eV/atom
Volume: 68 Å³ per cell

***

## MgSc2B (meta-GGA SCAN)

Data for a crystal of MgSc2B relaxed with PBEsol.

Cell: 4.525 4.525 4.525 Å, 60.00 60.00 60.00°
Element x y z (fractional)
Mg 0.500 0.500 0.500
Sc 0.750 0.750 0.750
Sc 0.250 0.250 0.250
B 0.000 0.000 0.000

Volume: 66 Å³ per cell
Formation energy from the elements: 0.22 eV/atom